First-principles (GGA-PBE) data for an optimized crystal structure of NdMg3, as listed in OQMD.

DFT total energy (eV for the cell shown): -19.77
Space group: Fm-3m (225)

Cell lengths 5.243, 5.243, 7.412 Å; angles 90.00, 90.00, 90.00 degrees
Element x y z (fractional)
Mg 0.500 0.000 0.750
Mg 0.500 0.500 0.000
Mg 0.000 0.500 0.250
Mg 0.000 0.000 0.500
Mg 0.500 0.000 0.250
Mg 0.000 0.500 0.750
Nd 0.500 0.500 0.500
Nd 0.000 0.000 0.000